The following is a PBE-GGA calculation of an optimized crystal structure of Sr4BiH, from Alexandria via LeMat-Bulk. Values from VASP.

Quantum ESPRESSO input file:
```
&SYSTEM
  ibrav = 0, nat = 12, ntyp = 3
/
ATOMIC_SPECIES
Sr 87.62 Sr.upf
Bi 208.98 Bi.upf
H 1.01 H.upf
ATOMIC_POSITIONS crystal
Sr 0.005 0.183 0.902
Sr 0.780 0.628 0.566
Sr 0.397 0.719 0.902
Sr 0.286 0.938 0.566
Sr 0.714 0.062 0.434
Sr 0.603 0.281 0.098
Sr 0.220 0.372 0.434
Sr 0.995 0.817 0.098
Bi 0.360 0.610 0.220
Bi 0.640 0.390 0.780
H 0.248 0.998 0.995
H 0.752 0.002 0.005
CELL_PARAMETERS angstrom
-1.207 6.899 -1.431
-7.194 -2.450 1.489
5.265 -0.323 8.244
```

Values from the calculation:
- Uncorrected energy: -32.4 eV for the cell shown
- Theoretical density: 4.00 Mg/m³
- Space-group type: C2/c, No. 15


The following is a PBE-GGA calculation of an optimized crystal structure of LiZrRu, from Alexandria via LeMat-Bulk. Values from VASP.

Quantum ESPRESSO input file:
```
&SYSTEM
  ibrav = 0, nat = 12, ntyp = 3
/
ATOMIC_SPECIES
Li 6.94 Li.upf
Zr 91.22 Zr.upf
Ru 101.07 Ru.upf
ATOMIC_POSITIONS crystal
Li 0.147 0.000 0.313
Li 0.853 0.000 0.687
Li 0.147 0.500 0.813
Li 0.853 0.500 0.187
Zr 0.313 0.000 0.625
Zr 0.687 0.000 0.375
Zr 0.313 0.500 0.125
Zr 0.687 0.500 0.875
Ru 0.500 0.500 0.500
Ru 0.500 0.000 0.000
Ru 0.000 0.000 0.000
Ru 0.000 0.500 0.500
CELL_PARAMETERS angstrom
6.010 0.000 0.005
0.000 3.812 0.000
-3.178 0.000 8.759
```

Values from the calculation:
- Polymorph energy (0 for the lowest one): 71 meV/atom
- Theoretical density: 6.59 Mg/m³
- Energy of formation from the pure elements: -0.48 eV/f.u.
- Space-group type: C2/m, No. 12